DFT (GGA+U) results for a relaxed structure of Sr2ZrCrO6.

Lattice parameters (Å, degrees): 5.692 5.692 5.692 90.64 119.63 119.63
Atoms (fractional coordinates):
Sr 0.500 0.250 0.750
Sr 0.500 0.750 0.250
Zr 0.000 0.500 0.500
Cr 0.000 0.000 0.000
O 0.000 0.761 0.761
O 0.000 0.239 0.239
O 0.484 0.242 0.242
O 0.516 0.758 0.758
O 0.000 0.242 0.758
O 0.000 0.758 0.242

## Properties
Space-group type: I4/mmm, No. 139
Total DFT energy (no corrections), eV for the cell shown: -76.01
Magnetization, μB/f.u.: 1.99
N(E_F), states/eV/cell: 2.86
Density, g/cm³: 5.2